# 1
# Ba2MnNbO6

A geometry-optimized Ba2MnNbO6 structure (PBEsol, the Alexandria database).

Structure (extended XYZ):
```
40
Lattice="-4.015 4.015 8.165 4.015 -4.015 8.165 4.015 4.015 -8.165" Properties=species:S:1:pos:R:3 pbc="T T T"
Ba 1.996 0.000 0.000
Ba 6.034 0.000 0.000
Ba 2.008 4.004 -4.083
Ba 2.008 -0.011 4.083
Ba 1.996 4.015 0.000
Ba 2.019 0.000 8.165
Ba -2.008 4.027 4.083
Ba 2.008 4.027 4.083
Mn 4.015 -2.008 6.124
Mn 4.015 2.008 2.041
Mn 0.000 2.008 6.124
Mn 0.000 6.023 2.041
Nb 4.015 2.008 -2.015
Nb 0.000 2.008 2.068
Nb 4.015 2.008 6.097
Nb 0.000 2.008 10.180
O 4.015 2.008 -3.977
O 4.015 0.007 2.009
O 4.015 3.999 -6.089
O 1.991 2.008 -2.007
O 2.025 -2.008 6.158
O 4.015 2.008 0.056
O 0.000 2.008 0.105
O 4.015 -0.017 6.089
O 2.014 2.008 2.074
O 6.016 2.008 2.074
O 0.000 0.007 6.157
O 4.015 2.008 4.027
O 0.000 2.008 4.139
O 4.015 4.009 2.009
O -2.001 2.008 6.091
O 2.001 2.008 6.091
O 0.000 4.032 2.076
O 4.015 2.008 8.060
O 0.000 2.008 8.109
O 1.991 6.023 2.007
O 2.025 2.008 10.172
O 0.000 0.017 14.254
O 0.000 4.009 6.157
O 0.000 2.008 12.142
```

Properties
Space group   I4_1/amd (141)
DFT total energy   -8.218 eV per atom
ΔE_f (raw)   -2.580 eV/atom


# 2
# Ba2MnNbO6

A geometry-optimized Ba2MnNbO6 structure (PBEsol, the Alexandria database).

Structure (extended XYZ):
```
10
Lattice="-2.792 2.792 4.289 2.792 -2.792 4.289 2.792 2.792 -4.289" Properties=species:S:1:pos:R:3 pbc="T T T"
Ba 2.792 0.000 2.145
Ba 0.000 2.792 2.145
Mn 0.000 0.000 0.000
Nb 0.000 0.000 4.289
O 1.359 1.359 0.000
O 1.433 -1.433 4.289
O 0.000 0.000 2.303
O 0.000 0.000 6.275
O -1.433 1.433 4.289
O 1.433 1.433 4.289
```

Properties
Space group   I4/mmm (139)
DFT total energy   -8.223 eV per atom
ΔE_f (raw)   -2.586 eV/atom


# 3
# Ba2MnNbO6

A geometry-optimized Ba2MnNbO6 structure (PBEsol, the Alexandria database).

Structure (extended XYZ):
```
40
Lattice="11.587 0.000 0.000 0.000 7.927 0.000 0.000 0.000 5.813" Properties=species:S:1:pos:R:3 pbc="T T T"
Ba 1.447 7.923 1.366
Ba 1.447 3.967 1.366
Ba 4.346 0.004 4.273
Ba 4.346 3.960 4.273
Ba 7.240 7.923 1.540
Ba 7.240 3.967 1.540
Ba 10.140 0.004 4.447
Ba 10.140 3.960 4.447
Mn 1.468 1.982 4.279
Mn 4.326 5.945 1.373
Mn 7.261 1.982 4.440
Mn 10.119 5.945 1.534
Nb 1.451 5.945 4.256
Nb 4.342 1.982 1.350
Nb 7.245 5.945 4.463
Nb 10.135 1.982 1.557
O 11.585 1.982 3.022
O 0.002 5.945 2.791
O 0.079 5.945 5.633
O 1.459 0.044 4.244
O 1.459 3.920 4.244
O 2.875 5.945 5.579
O 2.886 1.982 5.636
O 2.908 5.945 2.729
O 2.918 1.982 2.673
O 4.335 4.007 1.338
O 4.335 7.884 1.338
O 5.714 1.982 2.727
O 5.792 1.982 5.698
O 5.795 5.945 0.115
O 5.873 5.945 3.086
O 7.252 0.044 4.475
O 7.252 3.920 4.475
O 8.668 5.945 3.140
O 8.679 1.982 3.084
O 8.701 5.945 0.177
O 8.712 1.982 0.234
O 10.128 4.007 1.569
O 10.128 7.884 1.569
O 11.507 1.982 0.180
```

Properties
Space group   Pnma (62)
DFT total energy   -8.224 eV per atom
ΔE_f (raw)   -2.586 eV/atom


# 4
# Ba2MnNbO6

A geometry-optimized Ba2MnNbO6 structure (PBEsol, the Alexandria database).

Structure (extended XYZ):
```
20
Lattice="4.903 -2.903 0.000 4.903 2.903 0.000 -3.003 0.000 9.363" Properties=species:S:1:pos:R:3 pbc="T T T"
Ba 1.052 1.506 8.190
Ba 4.250 1.506 5.855
Ba 2.553 -1.506 3.508
Ba 5.751 -1.506 1.174
Mn 0.950 1.451 4.682
Mn 2.451 -1.451 0.000
Nb 4.152 1.372 2.341
Nb 2.651 -1.372 7.023
O -1.439 0.185 8.160
O 2.518 1.355 3.538
O 0.062 -0.185 3.478
O 1.774 0.130 5.862
O 5.786 1.355 1.144
O 3.275 -0.130 1.181
O 3.528 0.130 8.183
O 1.017 -1.355 8.220
O 5.029 -0.130 3.501
O 6.741 0.185 5.885
O 4.285 -1.355 5.826
O 8.242 -0.185 1.204
```

Properties
Space group   C2/c (15)
DFT total energy   -8.223 eV per atom
ΔE_f (raw)   -2.586 eV/atom